No. 1
The following is a DFT calculation (GGA-PBE) of Be3TcIr after structural relaxation.

Cell and atoms, written as extended XYZ:
```
5
Lattice="4.004 0.000 0.000 0.000 4.004 0.000 0.000 0.000 4.004" Properties=species:S:1:pos:R:3 pbc="T T T"
Be 0.000 0.000 2.002
Be 0.000 2.002 0.000
Be 2.002 0.000 0.000
Tc 0.000 0.000 0.000
Ir 2.002 2.002 2.002
```

Output
**VASP energy**: -5.018 eV/atom
**SG**: Pm-3m, No. 221
**Energy above the lowest structure with this stoichiometry**: 0.445 eV per atom



No. 2
The following is a DFT calculation (GGA-PBE) of Be2Tc2Ir after structural relaxation.

Cell and atoms, written as extended XYZ:
```
10
Lattice="6.180 0.000 0.000 0.000 6.180 0.000 0.000 0.000 3.056" Properties=species:S:1:pos:R:3 pbc="T T T"
Be 0.767 2.323 0.000
Be 2.323 5.413 0.000
Be 3.857 0.767 0.000
Be 5.413 3.857 0.000
Tc 1.043 4.133 1.528
Tc 2.047 1.043 1.528
Tc 4.133 5.136 1.528
Tc 5.136 2.047 1.528
Ir 0.000 0.000 0.000
Ir 3.090 3.090 0.000
```

Output
**VASP energy**: -7.637 eV/atom
**SG**: P4/mbm, No. 127



Number 1: magnetic moment 0.00 Bohr magnetons per cell, formation energy from the elements 1.063 eV per atom. Number 2: magnetic moment 0.00 Bohr magnetons per cell, formation energy from the elements -0.228 eV per atom.